# 1
DFT (PBE-GGA) results for an optimized crystal structure of Pm6Sm8Dy.

ΔE_f   0.12 eV/atom
DOS at the Fermi energy   64.31 states/eV/cell

Unit cell a=9.2248 b=9.2248 c=20.9518 alpha=90.00 beta=90.00 gamma=120.00
Last column: nearest neighbours and their distance in Å.
Space group R-3 (No. 148, hexagonal axes)
Inequivalent atoms, fractional coordinates:
Pm 0.0554 0.2469 0.2080 x18  4 Sm 3.43-3.81, 1 Dy 3.52, 4 Pm 3.59-3.83
Sm 0.0000 0.0000 0.0774 x6  4 Sm 3.24-3.48, 3 Pm 3.43
Sm 0.0808 0.5555 0.3067 x18  3 Pm 3.43-3.81, 5 Sm 3.48-3.50, 1 Dy 3.56
Dy 0.0000 0.0000 0.5000 x3  6 Pm 3.52, 6 Sm 3.56

# 2
DFT (PBE-GGA) results for an optimized crystal structure of PmSmDy2.

Energy above the most stable polymorph in this dataset   0.004 eV per atom
ΔE_f   0.02 eV/atom
DOS at the Fermi energy   5.32 states/eV/cell

Unit cell a=3.5905 b=3.5905 c=10.1493 alpha=90.00 beta=90.00 gamma=90.00
Last column: nearest neighbours and their distance in Å.
Space group P4/mmm (No. 123)
Inequivalent atoms, fractional coordinates:
Pm 0.0000 0.0000 0.0000 x1  4 Pm 3.59, 8 Dy 3.60
Sm 0.0000 0.0000 0.5000 x1  8 Dy 3.58, 4 Sm 3.59
Dy 0.5000 0.5000 0.2508 x2  4 Sm 3.58, 4 Dy 3.59, 4 Pm 3.60

# 3
DFT (PBE-GGA) results for an optimized crystal structure of Pm4Sm5Dy4.

ΔE_f   0.01 eV/atom
DOS at the Fermi energy   35.28 states/eV/cell

Unit cell a=13.0379 b=13.0379 c=5.0841 alpha=90.00 beta=90.00 gamma=90.00
Last column: nearest neighbours and their distance in Å.
Space group I4/m (No. 87)
Inequivalent atoms, fractional coordinates:
Pm 0.0771 0.3832 0.0000 x8  3 Sm 3.60-3.64, 4 Dy 3.60-3.61, 5 Pm 3.62-3.65
Sm 0.0000 0.0000 0.0000 x2  8 Sm 3.60, 4 Dy 3.62
Sm 0.0395 0.1917 0.5000 x8  3 Pm 3.60-3.64, 5 Dy 3.60-3.62, 4 Sm 3.60-3.61
Dy 0.1541 0.7689 0.0000 x8  6 Sm 3.60-3.62, 4 Pm 3.60-3.61, 2 Dy 3.60

# 4
DFT (PBE-GGA) results for an optimized crystal structure of Pm6Sm3Dy2.

Energy above the most stable polymorph in this dataset   0.264 eV per atom
ΔE_f   0.28 eV/atom
DOS at the Fermi energy   33.36 states/eV/cell

Unit cell a=4.8072 b=4.8072 c=33.6978 alpha=90.00 beta=90.00 gamma=90.00
Last column: nearest neighbours and their distance in Å.
Space group I4/mmm (No. 139)
Inequivalent atoms, fractional coordinates:
Pm 0.0000 0.0000 0.1989 x4  5 Sm 3.40-3.44, 4 Pm 3.59
Pm 0.0000 0.5000 0.1199 x8  6 Pm 3.40-3.59, 2 Dy 3.48, 2 Sm 3.59
Sm 0.0000 0.0000 0.3009 x4  9 Pm 3.40-3.59
Sm 0.0000 0.0000 0.5000 x2  8 Dy 3.73
Dy 0.0000 0.0000 0.0454 x4  1 Dy 3.06

# 5
DFT (PBE-GGA) results for an optimized crystal structure of PmSmDy.

Energy above the most stable polymorph in this dataset   0.002 eV per atom
ΔE_f   0.02 eV/atom
DOS at the Fermi energy   7.54 states/eV/cell

Unit cell a=6.2796 b=3.6339 c=9.0089 alpha=90.00 beta=103.69 gamma=90.00
Last column: nearest neighbours and their distance in Å.
Space group Cm (No. 8)
Inequivalent atoms, fractional coordinates:
Pm 0.0000 0.0000 0.0000 x2  3 Dy 3.58, 3 Sm 3.61-3.65, 6 Pm 3.63
Sm 0.4424 0.0000 0.3398 x2  3 Dy 3.56, 3 Pm 3.61-3.65, 6 Sm 3.63
Dy 0.2210 0.0000 0.6688 x2  3 Sm 3.56, 3 Pm 3.58, 6 Dy 3.63

# 6
DFT (PBE-GGA) results for an optimized crystal structure of Pm2SmDy4.

Energy above the most stable polymorph in this dataset   0.161 eV per atom
ΔE_f   0.20 eV/atom
DOS at the Fermi energy   23.68 states/eV/cell

Unit cell a=9.2285 b=9.3195 c=6.4525 alpha=90.00 beta=122.59 gamma=90.00
Last column: nearest neighbours and their distance in Å.
Space group C2/m (No. 12)
Inequivalent atoms, fractional coordinates:
Pm 0.0474 0.0000 0.2697 x4  1 Pm 3.10, 6 Dy 3.33-3.39
Sm 0.0000 0.5000 0.5000 x2  2 Pm 3.60, 8 Dy 3.68-3.78
Dy 0.2144 0.3116 0.2160 x8  3 Pm 3.33-3.39, 4 Dy 3.39-3.55, 1 Sm 3.68

# 7
DFT (PBE-GGA) results for an optimized crystal structure of PmSm2Dy.

Energy above the most stable polymorph in this dataset   0.003 eV per atom
ΔE_f   0.02 eV/atom
DOS at the Fermi energy   6.43 states/eV/cell

Unit cell a=5.1040 b=5.1040 c=5.1093 alpha=90.00 beta=90.00 gamma=90.00
Last column: nearest neighbours and their distance in Å.
Space group P4/mmm (No. 123)
Inequivalent atoms, fractional coordinates:
Pm 0.0000 0.0000 0.0000 x1  4 Dy 3.61, 8 Sm 3.61
Sm 0.0000 0.5000 0.5000 x2  4 Sm 3.61, 4 Dy 3.61, 4 Pm 3.61
Dy 0.5000 0.5000 0.0000 x1  4 Pm 3.61, 8 Sm 3.61

# 8
DFT (PBE-GGA) results for an optimized crystal structure of PmSm14Dy.

ΔE_f   0.00 eV/atom
DOS at the Fermi energy   32.02 states/eV/cell

Unit cell a=11.7222 b=7.2806 c=12.6029 alpha=90.00 beta=90.00 gamma=90.00
Last column: nearest neighbours and their distance in Å.
Space group Amm2 (No. 38)
Inequivalent atoms, fractional coordinates:
Pm 0.0000 0.0000 0.0000 x2  10 Sm 3.60-3.65, 2 Dy 3.64
Sm 0.0000 0.2494 0.2495 x4  8 Sm 3.60-3.65, 2 Pm 3.63-3.65, 2 Dy 3.64
Sm 0.2489 0.0000 0.6665 x4  1 Dy 3.60, 11 Sm 3.60-3.64
Sm 0.2492 0.2496 0.4167 x8  1 Dy 3.60, 1 Pm 3.60, 10 Sm 3.60-3.65
Sm 0.2507 0.0000 0.1667 x4  11 Sm 3.60-3.64, 1 Pm 3.61
Sm 0.5000 0.0000 0.3337 x2  12 Sm 3.60-3.64
Sm 0.5000 0.0000 0.8336 x2  12 Sm 3.61-3.64
Sm 0.5000 0.2504 0.0835 x4  12 Sm 3.60-3.65
Dy 0.0000 0.0000 0.4996 x2  10 Sm 3.60-3.64, 2 Pm 3.64

# 9
DFT (PBE-GGA) results for an optimized crystal structure of Pm6SmDy5.

ΔE_f   0.01 eV/atom
DOS at the Fermi energy   31.64 states/eV/cell

Unit cell a=5.1015 b=10.1602 c=15.2962 alpha=90.00 beta=90.00 gamma=90.00
Last column: nearest neighbours and their distance in Å.
Space group Immm (No. 71)
Inequivalent atoms, fractional coordinates:
Pm 0.0000 0.2488 0.0000 x4  6 Dy 3.59-3.61, 4 Pm 3.61, 2 Sm 3.61
Pm 0.0000 0.2507 0.3332 x8  7 Dy 3.59-3.61, 4 Pm 3.60-3.61, 1 Sm 3.61
Sm 0.0000 0.0000 0.5000 x2  8 Pm 3.61, 4 Dy 3.61
Dy 0.0000 0.0000 0.1668 x4  8 Pm 3.59-3.60, 4 Dy 3.60-3.61
Dy 0.0000 0.5000 0.1671 x4  8 Pm 3.59-3.61, 2 Dy 3.60, 2 Sm 3.61
Dy 0.0000 0.5000 0.5000 x2  8 Pm 3.59-3.60, 4 Dy 3.61

# 10
DFT (PBE-GGA) results for an optimized crystal structure of Pm3Sm2Dy7.

ΔE_f   0.08 eV/atom
DOS at the Fermi energy   14.78 states/eV/cell

Unit cell a=5.8483 b=3.5840 c=18.8574 alpha=90.00 beta=93.23 gamma=90.00
Last column: nearest neighbours and their distance in Å.
Space group P2/m (No. 10)
Inequivalent atoms, fractional coordinates:
Pm 0.0000 0.0000 0.0000 x1  8 Dy 3.37-3.43, 2 Pm 3.58
Pm 0.2763 0.5000 0.6322 x2  2 Pm 3.58, 6 Dy 3.67-3.87, 4 Sm 3.70-3.71
Sm 0.2116 0.0000 0.2929 x2  3 Dy 3.19-3.35
Dy 0.1896 0.5000 0.1428 x2  7 Dy 3.33-3.58, 2 Sm 3.35, 2 Pm 3.37
Dy 0.2427 0.0000 0.4623 x2  1 Sm 3.19, 2 Dy 3.25-3.26
Dy 0.3082 0.0000 0.8260 x2  8 Dy 3.46-3.85, 2 Sm 3.67-3.69, 1 Pm 3.83
Dy 0.5000 0.5000 0.0000 x1  4 Dy 3.33-3.58, 4 Pm 3.43

# 11
DFT (PBE-GGA) results for an optimized crystal structure of PmSmDy14.

ΔE_f   0.00 eV/atom
DOS at the Fermi energy   36.78 states/eV/cell

Unit cell a=11.4883 b=7.1410 c=12.3564 alpha=90.00 beta=90.00 gamma=90.00
Last column: nearest neighbours and their distance in Å.
Space group Amm2 (No. 38)
Inequivalent atoms, fractional coordinates:
Pm 0.0000 0.0000 0.0000 x2  10 Dy 3.55-3.57, 2 Sm 3.57
Sm 0.0000 0.0000 0.5001 x2  10 Dy 3.55-3.57, 2 Pm 3.57
Dy 0.0000 0.2500 0.2502 x4  8 Dy 3.54-3.57, 2 Pm 3.57, 2 Sm 3.57
Dy 0.2512 0.0000 0.1671 x4  11 Dy 3.52-3.57, 1 Pm 3.55
Dy 0.2510 0.0000 0.6672 x4  11 Dy 3.52-3.57, 1 Sm 3.55
Dy 0.2523 0.2501 0.4168 x8  10 Dy 3.51-3.57, 1 Pm 3.56, 1 Sm 3.56
Dy 0.5000 0.0000 0.3336 x2  12 Dy 3.51-3.57
Dy 0.5000 0.0000 0.8336 x2  12 Dy 3.51-3.57
Dy 0.5000 0.2500 0.0839 x4  12 Dy 3.52-3.57

# 12
DFT (PBE-GGA) results for an optimized crystal structure of Pm2Sm8Dy3.

Energy above the most stable polymorph in this dataset   0.199 eV per atom
ΔE_f   0.22 eV/atom
DOS at the Fermi energy   21.04 states/eV/cell

Unit cell a=7.6916 b=5.6727 c=11.0026 alpha=90.00 beta=110.42 gamma=90.00
Last column: nearest neighbours and their distance in Å.
Space group P2/m (No. 10)
Inequivalent atoms, fractional coordinates:
Pm 0.2399 0.0000 0.4814 x2  8 Sm 3.40-3.63
Sm 0.1304 0.5000 0.2612 x2  2 Dy 3.48, 2 Pm 3.63, 4 Sm 3.66
Sm 0.1881 0.0000 0.7903 x2  1 Dy 3.12, 1 Sm 3.19
Sm 0.3323 0.5000 0.6638 x2  2 Pm 3.40, 4 Sm 3.51
Sm 0.3971 0.0000 0.2102 x2  1 Dy 3.12, 1 Sm 3.19
Dy 0.0000 0.0000 0.0000 x1  4 Sm 3.12
Dy 0.2861 0.5000 0.0001 x2  3 Dy 3.29-3.59, 6 Sm 3.48-3.57